YTlCd2, PBEsol geometry, DFT SCAN; calculated formation energy = -0.294 eV/atom; calculated volume = 23.7 Å³/atom; density of states at the Fermi level = 0.437 states/eV/atom; mass density = 9.09 Mg/m³; magnetic moment = 0.00 μB/cell; excess energy over the best structure of this formula in the dataset = 0.36 eV/f.u.
1.0
4.5258 0.0000 0.0000
0.0000 4.5258 0.0000
-2.2629 -2.2629 4.6187
Tl Y Cd
1 1 2
Direct
0.5000 0.5000 0.0000
0.0000 0.0000 0.0000
0.7500 0.2500 0.5000
0.2500 0.7500 0.5000